No. 1
# Ac3PmBi4

An optimized crystal structure of Ac3PmBi4 (PBE, Alexandria).

Geometry as CIF:
```
data_Ac3PmBi4
_cell_length_a 6.807
_cell_length_b 6.807
_cell_length_c 6.807
_cell_angle_alpha 90.00
_cell_angle_beta 90.00
_cell_angle_gamma 90.00
_space_group_name_H-M_alt 'P 1'
_space_group_IT_number 1
_space_group_name_Hall 'P 1'
loop_
_atom_site_label
_atom_site_type_symbol
_atom_site_fract_x
_atom_site_fract_y
_atom_site_fract_z
Ac1 Ac 0.000 0.000 0.500
Ac2 Ac 0.000 0.500 0.000
Ac3 Ac 0.500 0.000 0.000
Pm1 Pm 0.500 0.500 0.500
Bi1 Bi 0.000 0.000 0.000
Bi2 Bi 0.000 0.500 0.500
Bi3 Bi 0.500 0.000 0.500
Bi4 Bi 0.500 0.500 0.000
```

For the energy above the lowest structure with this stoichiometry, the calculation gives 0.012 eV/atom. The calculation puts the density of states at the Fermi level at 1.251 states/eV/f.u. The formation energy comes out at -0.961 eV/atom. The raw total energy comes out at -5.04 eV per atom.

---

No. 2
# Pr2HfSe5

An optimized crystal structure of Pr2HfSe5 (PBE, Alexandria).

Geometry as CIF:
```
data_Pr2HfSe5
_cell_length_a 7.690
_cell_length_b 7.690
_cell_length_c 13.605
_cell_angle_alpha 90.00
_cell_angle_beta 90.00
_cell_angle_gamma 137.67
_space_group_name_H-M_alt 'P 1'
_space_group_IT_number 1
_space_group_name_Hall 'P 1'
loop_
_atom_site_label
_atom_site_type_symbol
_atom_site_fract_x
_atom_site_fract_y
_atom_site_fract_z
Pr1 Pr 0.146 0.854 0.564
Pr2 Pr 0.146 0.854 0.936
Pr3 Pr 0.854 0.146 0.064
Pr4 Pr 0.854 0.146 0.436
Hf1 Hf 0.185 0.815 0.250
Hf2 Hf 0.815 0.185 0.750
Se1 Se 0.049 0.951 0.124
Se2 Se 0.049 0.951 0.376
Se3 Se 0.276 0.724 0.750
Se4 Se 0.301 0.699 0.092
Se5 Se 0.301 0.699 0.408
Se6 Se 0.699 0.301 0.592
Se7 Se 0.699 0.301 0.908
Se8 Se 0.724 0.276 0.250
Se9 Se 0.951 0.049 0.624
Se10 Se 0.951 0.049 0.876
```

For the energy above the lowest structure with this stoichiometry, the calculation gives 0.126 eV/atom. The raw total energy comes out at -6.18 eV per atom. The raw formation energy is -1.56 eV/atom.

---

No. 3
# BePSe3

An optimized crystal structure of BePSe3 (PBE, Alexandria).

Geometry as CIF:
```
data_BePSe3
_cell_length_a 4.533
_cell_length_b 4.533
_cell_length_c 4.533
_cell_angle_alpha 90.00
_cell_angle_beta 90.00
_cell_angle_gamma 90.00
_space_group_name_H-M_alt 'P 1'
_space_group_IT_number 1
_space_group_name_Hall 'P 1'
loop_
_atom_site_label
_atom_site_type_symbol
_atom_site_fract_x
_atom_site_fract_y
_atom_site_fract_z
Be1 Be 0.000 0.000 0.000
P1 P 0.500 0.500 0.500
Se1 Se 0.000 0.000 0.500
Se2 Se 0.000 0.500 0.000
Se3 Se 0.500 0.000 0.000
```

For the energy above the lowest structure with this stoichiometry, the calculation gives 0.000 eV/atom. The calculation puts the density of states at the Fermi level at 4.024 states/eV/f.u. The raw total energy comes out at -3.34 eV per atom. The raw formation energy is 0.57 eV/atom.

---

No. 4
# YHo3Co2

An optimized crystal structure of YHo3Co2 (PBE, Alexandria).

Geometry as CIF:
```
data_YHo3Co2
_cell_length_a 8.109
_cell_length_b 8.109
_cell_length_c 8.109
_cell_angle_alpha 132.55
_cell_angle_beta 71.58
_cell_angle_gamma 129.77
_space_group_name_H-M_alt 'P 1'
_space_group_IT_number 1
_space_group_name_Hall 'P 1'
loop_
_atom_site_label
_atom_site_type_symbol
_atom_site_fract_x
_atom_site_fract_y
_atom_site_fract_z
Y1 Y 0.000 0.000 0.000
Y2 Y 0.500 0.500 0.000
Ho1 Ho 0.014 0.250 0.764
Ho2 Ho 0.250 0.750 0.500
Ho3 Ho 0.486 0.250 0.236
Ho4 Ho 0.514 0.750 0.764
Ho5 Ho 0.750 0.250 0.500
Ho6 Ho 0.986 0.750 0.236
Co1 Co 0.137 0.718 0.855
Co2 Co 0.363 0.218 0.582
Co3 Co 0.637 0.782 0.418
Co4 Co 0.863 0.282 0.145
```

For the energy above the lowest structure with this stoichiometry, the calculation gives 0.095 eV/atom. The calculation puts the density of states at the Fermi level at 5.592 states/eV/f.u. The formation energy comes out at -0.068 eV/atom. The raw total energy comes out at -5.80 eV per atom.

---

No. 5
# Th2BiTe2

An optimized crystal structure of Th2BiTe2 (PBE, Alexandria).

Geometry as CIF:
```
data_Th2BiTe2
_cell_length_a 12.723
_cell_length_b 10.123
_cell_length_c 8.471
_cell_angle_alpha 85.86
_cell_angle_beta 52.52
_cell_angle_gamma 41.61
_space_group_name_H-M_alt 'P 1'
_space_group_IT_number 1
_space_group_name_Hall 'P 1'
loop_
_atom_site_label
_atom_site_type_symbol
_atom_site_fract_x
_atom_site_fract_y
_atom_site_fract_z
Th1 Th 0.000 0.000 0.000
Th2 Th 0.000 0.000 0.500
Th3 Th 0.000 0.500 0.000
Th4 Th 0.500 0.000 0.000
Bi1 Bi 0.125 0.125 0.125
Bi2 Bi 0.875 0.875 0.875
Te1 Te 0.192 0.192 0.558
Te2 Te 0.442 0.442 0.808
Te3 Te 0.558 0.558 0.192
Te4 Te 0.808 0.808 0.442
```

For the energy above the lowest structure with this stoichiometry, the calculation gives 0.000 eV/atom. The calculation puts the density of states at the Fermi level at 1.890 states/eV/f.u. The raw total energy comes out at -5.42 eV per atom. The raw formation energy is -0.42 eV/atom.

---

No. 6
# Pm2HoSi3Pt4

An optimized crystal structure of Pm2HoSi3Pt4 (PBE, Alexandria).

Geometry as CIF:
```
data_Pm2HoSi3Pt4
_cell_length_a 4.265
_cell_length_b 4.265
_cell_length_c 10.803
_cell_angle_alpha 90.00
_cell_angle_beta 90.00
_cell_angle_gamma 90.00
_space_group_name_H-M_alt 'P 1'
_space_group_IT_number 1
_space_group_name_Hall 'P 1'
loop_
_atom_site_label
_atom_site_type_symbol
_atom_site_fract_x
_atom_site_fract_y
_atom_site_fract_z
Pm1 Pm 0.000 0.500 0.226
Pm2 Pm 0.500 0.000 0.774
Ho1 Ho 0.000 0.000 0.500
Si1 Si 0.000 0.500 0.881
Si2 Si 0.500 0.000 0.119
Si3 Si 0.500 0.500 0.500
Pt1 Pt 0.000 0.000 0.000
Pt2 Pt 0.000 0.500 0.660
Pt3 Pt 0.500 0.000 0.340
Pt4 Pt 0.500 0.500 0.000
```

The calculation puts the density of states at the Fermi level at 7.133 states/eV/f.u. The raw total energy comes out at -6.52 eV per atom. The raw formation energy is -1.07 eV/atom.

---

No. 7
# Cs3Mg5I12

An optimized crystal structure of Cs3Mg5I12 (PBE, Alexandria).

Geometry as CIF:
```
data_Cs3Mg5I12
_cell_length_a 16.862
_cell_length_b 16.862
_cell_length_c 16.862
_cell_angle_alpha 109.47
_cell_angle_beta 109.47
_cell_angle_gamma 109.47
_space_group_name_H-M_alt 'P 1'
_space_group_IT_number 1
_space_group_name_Hall 'P 1'
loop_
_atom_site_label
_atom_site_type_symbol
_atom_site_fract_x
_atom_site_fract_y
_atom_site_fract_z
Cs1 Cs 0.125 0.250 0.375
Cs2 Cs 0.125 0.375 0.750
Cs3 Cs 0.250 0.375 0.125
Cs4 Cs 0.250 0.875 0.625
Cs5 Cs 0.375 0.125 0.250
Cs6 Cs 0.375 0.750 0.125
Cs7 Cs 0.625 0.250 0.875
Cs8 Cs 0.625 0.875 0.750
Cs9 Cs 0.750 0.125 0.375
Cs10 Cs 0.750 0.625 0.875
Cs11 Cs 0.875 0.625 0.250
Cs12 Cs 0.875 0.750 0.625
Mg1 Mg 0.000 0.000 0.000
Mg2 Mg 0.000 0.000 0.500
Mg3 Mg 0.000 0.500 0.000
Mg4 Mg 0.000 0.500 0.500
Mg5 Mg 0.125 0.750 0.875
Mg6 Mg 0.125 0.875 0.250
Mg7 Mg 0.250 0.125 0.875
Mg8 Mg 0.250 0.625 0.375
Mg9 Mg 0.375 0.250 0.625
Mg10 Mg 0.375 0.625 0.750
Mg11 Mg 0.500 0.000 0.000
Mg12 Mg 0.500 0.000 0.500
Mg13 Mg 0.500 0.500 0.000
Mg14 Mg 0.500 0.500 0.500
Mg15 Mg 0.625 0.375 0.250
Mg16 Mg 0.625 0.750 0.375
Mg17 Mg 0.750 0.375 0.625
Mg18 Mg 0.750 0.875 0.125
Mg19 Mg 0.875 0.125 0.750
Mg20 Mg 0.875 0.250 0.125
I1 I 0.010 0.192 0.107
I2 I 0.010 0.317 0.902
I3 I 0.085 0.692 0.683
I4 I 0.085 0.893 0.402
I5 I 0.098 0.607 0.415
I6 I 0.098 0.990 0.683
I7 I 0.107 0.010 0.192
I8 I 0.107 0.598 0.915
I9 I 0.183 0.192 0.585
I10 I 0.183 0.490 0.598
I11 I 0.192 0.107 0.010
I12 I 0.192 0.585 0.183
I13 I 0.308 0.317 0.915
I14 I 0.308 0.490 0.393
I15 I 0.317 0.902 0.010
I16 I 0.317 0.915 0.308
I17 I 0.393 0.308 0.490
I18 I 0.393 0.585 0.902
I19 I 0.402 0.085 0.893
I20 I 0.402 0.817 0.510
I21 I 0.415 0.098 0.607
I22 I 0.415 0.817 0.808
I23 I 0.490 0.393 0.308
I24 I 0.490 0.598 0.183
I25 I 0.510 0.402 0.817
I26 I 0.510 0.607 0.692
I27 I 0.585 0.183 0.192
I28 I 0.585 0.902 0.393
I29 I 0.598 0.183 0.490
I30 I 0.598 0.915 0.107
I31 I 0.607 0.415 0.098
I32 I 0.607 0.692 0.510
I33 I 0.683 0.085 0.692
I34 I 0.683 0.098 0.990
I35 I 0.692 0.510 0.607
I36 I 0.692 0.683 0.085
I37 I 0.808 0.415 0.817
I38 I 0.808 0.893 0.990
I39 I 0.817 0.510 0.402
I40 I 0.817 0.808 0.415
I41 I 0.893 0.402 0.085
I42 I 0.893 0.990 0.808
I43 I 0.902 0.010 0.317
I44 I 0.902 0.393 0.585
I45 I 0.915 0.107 0.598
I46 I 0.915 0.308 0.317
I47 I 0.990 0.683 0.098
I48 I 0.990 0.808 0.893
```

The calculation puts the density of states at the Fermi level at 3.131 states/eV/f.u. The raw total energy comes out at -2.55 eV per atom. The raw formation energy is -1.09 eV/atom.

---

No. 8
# Sc3SiOs

An optimized crystal structure of Sc3SiOs (PBE, Alexandria).

Geometry as CIF:
```
data_Sc3SiOs
_cell_length_a 4.845
_cell_length_b 4.845
_cell_length_c 4.845
_cell_angle_alpha 90.00
_cell_angle_beta 90.00
_cell_angle_gamma 90.00
_space_group_name_H-M_alt 'P 1'
_space_group_IT_number 1
_space_group_name_Hall 'P 1'
loop_
_atom_site_label
_atom_site_type_symbol
_atom_site_fract_x
_atom_site_fract_y
_atom_site_fract_z
Sc1 Sc 0.000 0.000 0.500
Sc2 Sc 0.000 0.500 0.000
Sc3 Sc 0.500 0.000 0.000
Si1 Si 0.000 0.000 0.000
Os1 Os 0.500 0.500 0.500
```

For the energy above the lowest structure with this stoichiometry, the calculation gives 0.417 eV/atom. The calculation puts the density of states at the Fermi level at 11.472 states/eV/f.u. The raw total energy comes out at -6.58 eV per atom. The raw formation energy is 0.55 eV/atom.

---

No. 9
# LaVP2Cl

An optimized crystal structure of LaVP2Cl (PBE, Alexandria).

Geometry as CIF:
```
data_LaVP2Cl
_cell_length_a 5.501
_cell_length_b 5.501
_cell_length_c 5.322
_cell_angle_alpha 90.00
_cell_angle_beta 90.00
_cell_angle_gamma 90.00
_space_group_name_H-M_alt 'P 1'
_space_group_IT_number 1
_space_group_name_Hall 'P 1'
loop_
_atom_site_label
_atom_site_type_symbol
_atom_site_fract_x
_atom_site_fract_y
_atom_site_fract_z
La1 La 0.000 0.000 0.000
V1 V 0.500 0.500 0.500
P1 P 0.000 0.500 0.000
P2 P 0.500 0.000 0.000
Cl1 Cl 0.000 0.000 0.500
```

For the energy above the lowest structure with this stoichiometry, the calculation gives 1.294 eV/atom. The calculation puts the density of states at the Fermi level at 7.536 states/eV/f.u. The raw total energy comes out at -4.86 eV per atom. The raw formation energy is 0.48 eV/atom.

---

No. 10
# K2AsAu

An optimized crystal structure of K2AsAu (PBE, Alexandria).

Geometry as CIF:
```
data_K2AsAu
_cell_length_a 3.649
_cell_length_b 4.919
_cell_length_c 6.140
_cell_angle_alpha 90.00
_cell_angle_beta 90.00
_cell_angle_gamma 90.00
_space_group_name_H-M_alt 'P 1'
_space_group_IT_number 1
_space_group_name_Hall 'P 1'
loop_
_atom_site_label
_atom_site_type_symbol
_atom_site_fract_x
_atom_site_fract_y
_atom_site_fract_z
K1 K 0.000 0.000 0.245
K2 K 0.000 0.000 0.755
As1 As 0.500 0.500 0.000
Au1 Au 0.500 0.500 0.500
```

The calculation puts the density of states at the Fermi level at 1.029 states/eV/f.u. The formation energy comes out at -0.128 eV/atom. The raw total energy comes out at -2.66 eV per atom.

---

- Among the records above, which one has the highest raw total energy?
  Cs3Mg5I12